1.
Compound: Mn5Fe4O12
Source: Alexandria via LeMat-Bulk
Functional: GGA+U
Structure: optimized geometry

a = 6.1011 Å, b = 6.0709 Å, c = 13.5127 Å
α = 102.94°, β = 103.09°, γ = 89.51°
Element x y z (fractional)
O (0.2195, 0.2455, 0.4889)
O (0.4429, 0.9196, 0.8430)
O (0.3916, 0.4023, 0.3361)
O (0.2270, 0.7446, 0.4923)
O (0.2454, 0.2731, 0.9957)
O (0.5495, 0.5893, 0.1573)
O (0.2642, 0.7384, 0.9911)
O (0.4001, 0.9389, 0.3427)
O (0.0906, 0.6081, 0.6532)
O (0.7606, 0.7488, 0.4929)
O (0.5512, 0.0758, 0.1724)
O (0.9019, 0.9146, 0.8359)
O (0.5788, 0.6166, 0.6791)
O (0.9370, 0.9494, 0.3394)
O (0.9334, 0.3929, 0.3375)
O (0.1080, 0.0830, 0.1814)
O (0.8964, 0.4148, 0.8419)
O (0.1078, 0.5889, 0.1507)
O (0.4541, 0.4209, 0.8423)
O (0.0904, 0.0465, 0.6533)
O (0.7777, 0.2534, 0.4999)
O (0.5771, 0.0593, 0.6797)
O (0.7633, 0.7178, 0.9967)
O (0.7368, 0.2598, 0.9979)
Mn (0.7887, 0.0381, 0.0900)
Mn (0.3338, 0.8367, 0.1658)
Mn (0.3338, 0.8322, 0.6659)
Mn (0.8807, 0.6267, 0.2457)
Mn (0.2126, 0.9622, 0.9167)
Mn (0.0042, 0.4966, 0.9972)
Mn (0.1656, 0.1684, 0.3363)
Mn (0.1296, 0.3741, 0.7473)
Mn (0.5406, 0.2913, 0.5862)
Mn (0.4489, 0.7048, 0.4132)
Fe (0.9934, 0.9995, 0.4970)
Fe (0.6698, 0.1631, 0.8379)
Fe (0.9937, 0.5004, 0.4965)
Fe (0.6594, 0.1703, 0.3346)
Fe (0.6714, 0.6677, 0.8355)
Fe (0.3298, 0.3339, 0.1664)
Fe (0.8334, 0.8330, 0.6659)
Fe (0.5049, 0.4985, 0.0005)

Space group ... P1 (1)
Raw total energy ... -6.97 eV/atom
M_tot ... 16.97 μB per formula unit
ΔE to the lowest computed polymorph ... 197 meV/atom

=====

2.
Compound: Mn9Fe4O24
Source: Alexandria via LeMat-Bulk
Functional: GGA+U
Structure: optimized geometry

a = 13.1322 Å, b = 13.1322 Å, c = 5.9058 Å
α = 77.38°, β = 77.38°, γ = 26.08°
Element x y z (fractional)
Fe (0.7921, 0.7921, 0.9567)
Fe (0.3372, 0.3372, 0.1869)
Fe (0.4869, 0.0127, 0.5017)
Fe (0.0127, 0.4869, 0.5017)
O (0.2570, 0.2570, 0.2665)
O (0.5781, 0.1005, 0.9108)
O (0.2213, 0.7900, 0.2404)
O (0.5875, 0.5875, 0.9437)
O (0.4162, 0.4162, 0.0379)
O (0.8790, 0.4606, 0.5799)
O (0.1005, 0.5781, 0.9108)
O (0.5545, 0.1092, 0.4429)
O (0.0789, 0.0789, 0.9530)
O (0.4123, 0.4123, 0.6215)
O (0.9241, 0.9241, 0.0369)
O (0.2140, 0.7796, 0.7486)
O (0.7448, 0.7448, 0.7494)
O (0.4441, 0.8770, 0.0892)
O (0.1092, 0.5545, 0.4429)
O (0.7465, 0.7465, 0.2632)
O (0.8770, 0.4441, 0.0892)
O (0.0789, 0.0789, 0.3854)
O (0.2578, 0.2578, 0.7321)
O (0.9239, 0.9239, 0.6044)
O (0.7900, 0.2213, 0.2404)
O (0.4606, 0.8790, 0.5799)
O (0.7796, 0.2140, 0.7486)
O (0.5880, 0.5880, 0.3779)
Mn (0.0012, 0.0012, 0.4942)
Mn (0.6645, 0.6645, 0.8339)
Mn (0.6694, 0.1704, 0.8249)
Mn (0.1704, 0.6694, 0.8249)
Mn (0.3331, 0.8339, 0.1650)
Mn (0.3336, 0.3336, 0.6658)
Mn (0.0014, 0.0014, 0.9956)
Mn (0.8339, 0.3331, 0.1650)
Mn (0.6650, 0.6650, 0.3356)

Space group ... Cm (8)
Raw total energy ... -6.95 eV/atom
M_tot ... 47.00 μB per formula unit

=====

3.
Compound: MnFeO2
Source: Alexandria via LeMat-Bulk
Functional: GGA+U
Structure: optimized geometry

a = 4.5162 Å, b = 4.5162 Å, c = 8.7011 Å
α = 90.00°, β = 90.00°, γ = 90.00°
Element x y z (fractional)
Mn (0.7502, 0.5000, 0.3750)
Mn (0.2498, 0.5000, 0.6250)
Mn (0.2498, 0.0000, 0.8750)
Mn (0.7502, 0.0000, 0.1250)
Fe (0.7498, 0.5000, 0.8750)
Fe (0.2502, 0.0000, 0.3750)
Fe (0.2502, 0.5000, 0.1250)
Fe (0.7498, 0.0000, 0.6250)
O (0.7497, 0.5000, 0.6322)
O (0.7502, 0.5000, 0.1178)
O (0.2498, 0.5000, 0.8822)
O (0.2498, 0.0000, 0.6178)
O (0.7502, 0.0000, 0.3822)
O (0.2503, 0.0000, 0.1322)
O (0.7497, 0.0000, 0.8678)
O (0.2503, 0.5000, 0.3678)

Space group ... I4_1/amd (141)
Raw total energy ... -7.24 eV/atom
M_tot ... 9.00 μB per formula unit
ΔE to the lowest computed polymorph ... 0 meV/atom

=====

4.
Compound: MnFeO2
Source: Alexandria via LeMat-Bulk
Functional: GGA+U
Structure: optimized geometry

a = 3.1562 Å, b = 3.1681 Å, c = 5.3998 Å
α = 73.96°, β = 73.01°, γ = 60.12°
Element x y z (fractional)
Mn (0.0000, 0.0000, 0.0000)
O (0.2398, 0.2638, 0.2566)
O (0.7602, 0.7362, 0.7434)
Fe (0.5000, 0.5000, 0.5000)

Space group ... C2/m (12)
Raw total energy ... -7.24 eV/atom
M_tot ... 9.00 μB per formula unit
ΔE to the lowest computed polymorph ... 3 meV/atom